[1]
Computed, not measured: a geometry-optimized CuS2O structure at the PBE level of DFT.

Output
Space group: R-3m (166)
Raw formation energy: 0.85 eV/atom
Mass density: 4.531 Mg/m³

Cell: 7.900 7.900 7.900 Å, 20.44 20.44 20.44°
Fractional positions:
1 S 0.904 0.904 0.904
2 S 0.096 0.096 0.096
3 O 0.500 0.500 0.500
4 Cu 0.000 0.000 0.000

=====

[2]
Computed, not measured: a geometry-optimized Ce2PmPu3N6 structure at the PBE level of DFT.

Output
Space group: C2/m (12)
Raw formation energy: -1.38 eV/atom
Mass density: 11.043 Mg/m³

Cell: 6.123 6.123 6.102 Å, 99.63 99.63 120.01°
Site moments in Bohr magnetons follow the coordinates.
Fractional positions:
1 Ce 0.333 0.667 0.000  0.60
2 Ce 0.667 0.333 0.000  0.60
3 Pm 0.000 0.000 0.000  0.13
4 Pu 0.166 0.834 0.500  4.68
5 Pu 0.834 0.166 0.500  4.68
6 Pu 0.500 0.500 0.500  4.68
7 N 0.912 0.574 0.735  -0.15
8 N 0.752 0.752 0.267  -0.16
9 N 0.088 0.426 0.265  -0.15
10 N 0.574 0.912 0.735  -0.15
11 N 0.248 0.248 0.733  -0.16
12 N 0.426 0.088 0.265  -0.15

=====

[3]
Computed, not measured: a geometry-optimized Tb2Pm3YEr6 structure at the PBE level of DFT.

Output
Space group: C2/m (12)
E_form: 1.8 kJ/mol of atoms
Mass density: 8.042 Mg/m³

Cell: 6.168 6.168 11.743 Å, 95.01 95.01 119.97°
Fractional positions:
1 Tb 0.333 0.667 0.000
2 Tb 0.667 0.333 0.000
3 Pm 0.167 0.833 0.500
4 Pm 0.833 0.167 0.500
5 Pm 0.500 0.500 0.500
6 Y 0.000 0.000 0.000
7 Er 0.917 0.583 0.752
8 Er 0.749 0.749 0.248
9 Er 0.083 0.417 0.248
10 Er 0.583 0.917 0.752
11 Er 0.251 0.251 0.752
12 Er 0.417 0.083 0.248